(1)
Density functional theory data (GGA-PBE) for crystalline YBeMo2 at its relaxed geometry.

Lattice parameters (Å, degrees): 5.536 5.536 2.820 101.47 101.47 120.22
Positions (direct):
Y 0.000 0.000 0.000
Be 0.500 0.500 0.000
Mo 0.000 0.500 0.500
Mo 0.500 0.000 0.500

Computed properties:
For the formation energy, the calculation gives 0.5557 eV/atom.

---

(2)
Density functional theory data (GGA-PBE) for crystalline PBr4 at its relaxed geometry.

Lattice parameters (Å, degrees): 6.587 6.587 6.587 107.01 107.01 114.51
Positions (direct):
P 0.000 0.000 0.000
Br 0.250 0.750 0.500
Br 0.312 0.312 0.000
Br 0.688 0.688 0.000
Br 0.750 0.250 0.500

Computed properties:
The formation energy (no corrections) comes out at 0.6759 eV per atom.

---

(3)
Density functional theory data (GGA-PBE) for crystalline CeTlCuPd at its relaxed geometry.

Lattice parameters (Å, degrees): 4.882 4.882 4.882 60.00 60.00 60.00
Positions (direct):
Ce 0.000 0.000 0.000
Tl 0.500 0.500 0.500
Cu 0.750 0.750 0.750
Pd 0.250 0.250 0.250

Computed properties:
For the formation energy, the calculation gives -0.3107 eV/atom.

---

(4)
Density functional theory data (GGA-PBE) for crystalline BaAg2Sn3 at its relaxed geometry.

Lattice parameters (Å, degrees): 6.510 6.510 4.546 90.00 90.00 120.00
Positions (direct):
Ba 0.000 0.000 0.000
Ag 0.333 0.667 0.000
Ag 0.667 0.333 0.000
Sn 0.000 0.500 0.500
Sn 0.500 0.000 0.500
Sn 0.500 0.500 0.500

Computed properties:
For the formation energy, the calculation gives -0.2866 eV/atom.

---

(5)
Density functional theory data (GGA-PBE) for crystalline Ce2Ga4SiPd3 at its relaxed geometry.

Lattice parameters (Å, degrees): 4.248 4.248 10.578 90.00 90.00 90.00
Positions (direct):
Ce 0.000 0.500 0.249
Ce 0.500 0.000 0.751
Ga 0.000 0.000 0.000
Ga 0.000 0.500 0.635
Ga 0.500 0.000 0.365
Ga 0.500 0.500 0.000
Si 0.000 0.000 0.500
Pd 0.000 0.500 0.867
Pd 0.500 0.000 0.133
Pd 0.500 0.500 0.500

Computed properties:
The formation energy (no corrections) comes out at -0.6779 eV per atom.

---

(6)
Density functional theory data (GGA-PBE) for crystalline SnSbSe at its relaxed geometry.

Lattice parameters (Å, degrees): 11.981 4.008 4.008 60.03 90.00 90.00
Positions (direct):
Sn 0.000 0.000 0.000
Sn 0.500 0.334 0.334
Sb 0.334 0.001 0.001
Sb 0.666 0.001 0.001
Se 0.159 0.333 0.333
Se 0.841 0.333 0.333

Computed properties:
The formation energy (no corrections) comes out at -0.0304 eV per atom.

---

(7)
Density functional theory data (GGA-PBE) for crystalline NdIn5Hg8 at its relaxed geometry.

Lattice parameters (Å, degrees): 7.884 7.884 7.884 109.26 109.26 109.89
Positions (direct):
Nd 0.000 0.000 0.000
In 0.232 0.120 0.606
In 0.374 0.768 0.888
In 0.514 0.626 0.394
In 0.750 0.250 0.500
In 0.880 0.486 0.112
Hg 0.132 0.394 0.422
Hg 0.140 0.383 0.908
Hg 0.290 0.868 0.262
Hg 0.475 0.232 0.092
Hg 0.606 0.028 0.738
Hg 0.617 0.525 0.757
Hg 0.768 0.860 0.243
Hg 0.972 0.710 0.578

Computed properties:
For the formation energy, the calculation gives -0.0664 eV/atom.

---

(8)
Density functional theory data (GGA-PBE) for crystalline Tb2Ga2Ge at its relaxed geometry.

Lattice parameters (Å, degrees): 5.873 5.873 10.977 115.25 115.25 41.44
Positions (direct):
Tb 0.098 0.098 0.402
Tb 0.294 0.294 0.854
Tb 0.706 0.706 0.146
Tb 0.902 0.902 0.598
Ga 0.016 0.016 0.899
Ga 0.366 0.366 0.389
Ga 0.634 0.634 0.611
Ga 0.984 0.984 0.101
Ge 0.423 0.423 0.186
Ge 0.577 0.577 0.814

Computed properties:
For the formation energy, the calculation gives -0.6642 eV/atom.

---

(9)
Density functional theory data (GGA-PBE) for crystalline TaRe3 at its relaxed geometry.

Lattice parameters (Å, degrees): 5.238 5.238 5.238 145.04 129.41 62.97
Positions (direct):
Ta 0.000 0.000 0.000
Re 0.245 0.745 0.500
Re 0.500 0.500 0.000
Re 0.755 0.255 0.500

Computed properties:
For the formation energy, the calculation gives -0.0371 eV/atom.

---

(10)
Density functional theory data (GGA-PBE) for crystalline NbGaBi3 at its relaxed geometry.

Lattice parameters (Å, degrees): 5.538 5.538 5.538 90.00 90.00 90.00
Positions (direct):
Nb 0.000 0.000 0.000
Ga 0.500 0.500 0.500
Bi 0.000 0.000 0.500
Bi 0.000 0.500 0.000
Bi 0.500 0.000 0.000

Computed properties:
For the formation energy, the calculation gives 0.4538 eV/atom.

---

(11)
Density functional theory data (GGA-PBE) for crystalline Pr3Sm6Tm2 at its relaxed geometry.

Lattice parameters (Å, degrees): 32.617 32.617 32.617 6.37 6.37 6.37
Positions (direct):
Pr 0.000 0.000 0.000
Pr 0.272 0.272 0.272
Pr 0.728 0.728 0.728
Sm 0.093 0.093 0.093
Sm 0.182 0.182 0.182
Sm 0.364 0.364 0.364
Sm 0.636 0.636 0.636
Sm 0.818 0.818 0.818
Sm 0.907 0.907 0.907
Tm 0.455 0.455 0.455
Tm 0.545 0.545 0.545

Computed properties:
For the formation energy, the calculation gives 0.0183 eV/atom.

---

(12)
Density functional theory data (GGA-PBE) for crystalline CePmHo2Tm5 at its relaxed geometry.

Lattice parameters (Å, degrees): 10.990 10.990 9.517 90.00 90.00 150.31
Positions (direct):
Ce 0.197 0.803 0.500
Ce 0.803 0.197 0.000
Pm 0.403 0.597 0.099
Pm 0.597 0.403 0.599
Ho 0.113 0.887 0.201
Ho 0.138 0.862 0.820
Ho 0.862 0.138 0.320
Ho 0.887 0.113 0.701
Tm 0.013 0.987 0.507
Tm 0.265 0.735 0.187
Tm 0.308 0.692 0.805
Tm 0.394 0.606 0.484
Tm 0.472 0.528 0.779
Tm 0.528 0.472 0.279
Tm 0.606 0.394 0.984
Tm 0.692 0.308 0.305
Tm 0.735 0.265 0.687
Tm 0.987 0.013 0.007

Computed properties:
For the formation energy, the calculation gives 0.1772 eV/atom.

---

(13)
Density functional theory data (GGA-PBE) for crystalline YTmPtRh at its relaxed geometry.

Lattice parameters (Å, degrees): 4.335 5.595 5.595 39.24 90.00 90.00
Positions (direct):
Y 0.000 0.000 0.000
Tm 0.500 0.718 0.718
Pt 0.500 0.441 0.441
Rh 0.000 0.267 0.267

Computed properties:
For the formation energy, the calculation gives -1.0687 eV/atom.

---

(14)
Density functional theory data (GGA-PBE) for crystalline PaVPd2 at its relaxed geometry.

Lattice parameters (Å, degrees): 4.114 4.114 4.196 90.00 90.00 90.00
Positions (direct):
Pa 0.000 0.000 0.000
V 0.500 0.500 0.000
Pd 0.000 0.500 0.500
Pd 0.500 0.000 0.500

Computed properties:
For the formation energy, the calculation gives -0.3114 eV/atom.

---

(15)
Density functional theory data (GGA-PBE) for crystalline SmGd3Rh at its relaxed geometry.

Lattice parameters (Å, degrees): 5.464 5.464 5.464 90.00 90.00 90.00
Positions (direct):
Sm 0.000 0.000 0.000
Gd 0.000 0.500 0.500
Gd 0.500 0.000 0.500
Gd 0.500 0.500 0.000
Rh 0.500 0.500 0.500

Computed properties:
For the formation energy, the calculation gives -0.2196 eV/atom.

---

(16)
Density functional theory data (GGA-PBE) for crystalline KPRh2 at its relaxed geometry.

Lattice parameters (Å, degrees): 4.599 4.599 4.599 60.00 60.00 60.00
Positions (direct):
K 0.000 0.000 0.000
P 0.250 0.250 0.250
Rh 0.500 0.500 0.500
Rh 0.750 0.750 0.750

Computed properties:
For the formation energy, the calculation gives 0.7144 eV/atom.

---

(17)
Density functional theory data (GGA-PBE) for crystalline ScMoAu2 at its relaxed geometry.

Lattice parameters (Å, degrees): 2.969 2.969 8.087 90.00 90.00 90.00
Positions (direct):
Sc 0.000 0.000 0.000
Mo 0.000 0.000 0.500
Au 0.500 0.500 0.254
Au 0.500 0.500 0.746

Computed properties:
For the formation energy, the calculation gives -0.1184 eV/atom.

---

(18)
Density functional theory data (GGA-PBE) for crystalline NbPt4Rh at its relaxed geometry.

Lattice parameters (Å, degrees): 8.078 8.078 8.636 90.00 90.00 160.14
Positions (direct):
Nb 0.248 0.752 0.750
Nb 0.752 0.248 0.250
Pt 0.000 0.000 0.000
Pt 0.000 0.000 0.500
Pt 0.169 0.831 0.027
Pt 0.169 0.831 0.473
Pt 0.401 0.599 0.250
Pt 0.599 0.401 0.750
Pt 0.831 0.169 0.527
Pt 0.831 0.169 0.973
Rh 0.423 0.577 0.750
Rh 0.577 0.423 0.250

Computed properties:
For the formation energy, the calculation gives -0.2892 eV/atom.

---

(19)
Density functional theory data (GGA-PBE) for crystalline LaTc2Ni at its relaxed geometry.

Lattice parameters (Å, degrees): 3.213 3.213 7.061 90.00 90.00 90.00
Positions (direct):
La 0.000 0.000 0.000
Tc 0.500 0.500 0.333
Tc 0.500 0.500 0.667
Ni 0.000 0.000 0.500

Computed properties:
For the formation energy, the calculation gives 0.3673 eV/atom.

---

(20)
Density functional theory data (GGA-PBE) for crystalline PmTlSi4 at its relaxed geometry.

Lattice parameters (Å, degrees): 5.444 5.444 5.444 60.00 60.00 60.00
Positions (direct):
Pm 0.000 0.000 0.000
Tl 0.750 0.750 0.750
Si 0.376 0.376 0.376
Si 0.376 0.376 0.873
Si 0.376 0.873 0.376
Si 0.873 0.376 0.376

Computed properties:
The formation energy (no corrections) comes out at -0.0312 eV per atom.

---

no.,size of the total moment (Bohr magnetons per cell)
1,0.00
2,1.46
3,0.51
4,0.00
5,1.14
6,0.00
7,0.00
8,0.00
9,0.00
10,0.00
11,0.00
12,1.57
13,0.00
14,2.21
15,22.67
16,0.64
17,0.00
18,0.00
19,0.00
20,0.00